[1]
DFT (PBE) results for a relaxed Ac2Re2N7 crystal.

Summary:
volume: 18.716 Å³ per atom
DFT total energy: -96.8 eV per cell
E_form (uncorrected): -5.42 eV/f.u.

Lattice parameters (Å, degrees): 6.467 5.146 6.467 97.26 77.56 82.74
Each line ends with the local moment (μB).
Element x y z (fractional)
Ac 0.703 0.500 0.703  0.01
Ac 0.297 0.500 0.297  0.01
Re 0.782 0.926 0.218  -0.06
Re 0.218 0.074 0.782  -0.06
N 0.101 0.263 0.606  0.15
N 0.606 0.737 0.101  0.15
N 0.899 0.737 0.394  0.15
N 0.394 0.263 0.899  0.15
N 0.000 0.000 0.000  0.04
N 0.372 0.769 0.628  0.10
N 0.628 0.231 0.372  0.10

=====

[2]
DFT (PBE) results for a relaxed AcLa2Nd2N4 crystal.

Summary:
volume: 24.920 Å³ per atom
DFT total energy: -66.0 eV per cell
E_form (uncorrected): -9.17 eV/f.u.

Lattice parameters (Å, degrees): 3.646 10.892 6.485 117.53 90.00 99.64
Element x y z (fractional)
Ac 0.000 0.000 0.000
La 0.328 0.656 0.016
La 0.672 0.344 0.984
Nd 0.826 0.652 0.546
Nd 0.174 0.348 0.454
N 0.754 0.509 0.750
N 0.246 0.491 0.250
N 0.599 0.198 0.169
N 0.401 0.802 0.831

=====

[3]
DFT (PBE) results for a relaxed HfSb3Te crystal.

Summary:
energy above the lowest structure with this stoichiometry: 787 meV/atom
volume: 34.269 Å³ per atom
DFT total energy: -19.9 eV per cell
E_form (uncorrected): 5.61 eV/f.u.

Lattice parameters (Å, degrees): 5.554 5.554 5.554 90.00 90.00 90.00
Element x y z (fractional)
Sb 0.000 0.500 0.000
Sb 0.000 0.000 0.500
Sb 0.500 0.000 0.000
Te 0.000 0.000 0.000
Hf 0.500 0.500 0.500

=====

[4]
DFT (PBE) results for a relaxed BaNbIn2F crystal.

Summary:
volume: 38.663 Å³ per atom
DFT total energy: -17.7 eV per cell
E_form (uncorrected): 1.67 eV/f.u.

Lattice parameters (Å, degrees): 6.465 4.625 6.465 90.00 90.00 90.00
Each line ends with the local moment (μB).
Element x y z (fractional)
Nb 0.500 0.500 0.500  2.81
F 0.000 0.500 0.000  0.01
Ba 0.000 0.000 0.000  -0.04
In 0.000 0.000 0.500  0.03
In 0.500 0.000 0.000  -0.04

=====

[5]
DFT (PBE) results for a relaxed Pm2Ho2Tl7 crystal.

Summary:
energy of formation: 0.59 eV per formula unit
volume: 33.107 Å³ per atom
DFT total energy: -34.6 eV per cell

Lattice parameters (Å, degrees): 6.898 7.891 6.898 90.00 104.11 90.00
Element x y z (fractional)
Pm 0.696 0.000 0.304
Pm 0.304 0.000 0.696
Ho 0.806 0.500 0.806
Ho 0.194 0.500 0.194
Tl 0.000 0.298 0.500
Tl 0.500 0.702 0.000
Tl 0.000 0.702 0.500
Tl 0.500 0.298 0.000
Tl 0.000 0.000 0.000
Tl 0.500 0.705 0.500
Tl 0.500 0.295 0.500

=====

[6]
DFT (PBE) results for a relaxed Nd6GaBr8 crystal.

Summary:
volume: 33.949 Å³ per atom
DFT total energy: -66.5 eV per cell
E_form (uncorrected): -21.45 eV/f.u.

Lattice parameters (Å, degrees): 7.357 7.357 11.666 71.62 71.62 60.00
Element x y z (fractional)
Nd 0.948 0.635 0.157
Nd 0.739 0.052 0.843
Nd 0.365 0.739 0.843
Nd 0.635 0.261 0.157
Nd 0.261 0.948 0.157
Nd 0.052 0.365 0.843
Ga 0.000 0.000 0.000
Br 0.770 0.444 0.678
Br 0.893 0.230 0.322
Br 0.556 0.893 0.322
Br 0.333 0.333 0.000
Br 0.667 0.667 0.000
Br 0.444 0.107 0.678
Br 0.107 0.770 0.678
Br 0.230 0.556 0.322